# Sm2Dy2CBr2Cl3, optimized geometry, DFT PBE
data_Sm2Dy2CBr2Cl3
_cell_length_a 9.0856
_cell_length_b 9.0856
_cell_length_c 7.9998
_cell_angle_alpha 102.40
_cell_angle_beta 102.40
_cell_angle_gamma 24.26
_space_group_name_H-M_alt 'P 1'
_space_group_IT_number 1
_space_group_name_Hall 'P 1'
loop_
_atom_site_label
_atom_site_type_symbol
_atom_site_fract_x
_atom_site_fract_y
_atom_site_fract_z
Sm1 Sm 0.9997 0.9997 0.2136
Sm2 Sm 0.0003 0.0003 0.7864
Dy1 Dy 0.3615 0.3615 0.9265
Dy2 Dy 0.6385 0.6385 0.0735
C1 C 0.5000 0.5000 0.0000
Br1 Br 0.1732 0.1732 0.8286
Br2 Br 0.8268 0.8268 0.1714
Cl1 Cl 0.1619 0.1619 0.3215
Cl2 Cl 0.5000 0.5000 0.5000
Cl3 Cl 0.8381 0.8381 0.6785
# Symmetry: C2/m (12)
# Raw total energy: -5.27 eV/atom